(1)
Nd2ZrAl: relaxed, PBE.

total energy	-5.551	eV/atom
relative energy among the computed polymorphs	0	meV/atom
energy of formation from the pure elements	-0.09	eV per atom
crystal system	tetragonal
DOS at the Fermi energy	0.8857	states/eV per atom

Unit cell a=4.673 b=4.673 c=4.796 alpha=90.00 beta=90.00 gamma=90.00
Space group P4/mmm (No. 123)
Inequivalent atoms, fractional coordinates:
Nd 0.000 0.500 0.000
Zr 0.000 0.000 0.500
Al 0.500 0.500 0.500


(2)
Be3Br: relaxed, PBE.

formation energy without anion corrections	0.19	eV/atom
total energy	-3.022	eV/atom
relative energy among the computed polymorphs	0	meV/atom
crystal system	monoclinic
DOS at the Fermi energy	0.1977	states/eV per atom

Unit cell a=6.483 b=3.737 c=5.591 alpha=90.00 beta=112.57 gamma=90.00
Space group C2/m (No. 12)
Inequivalent atoms, fractional coordinates:
Be 0.000 0.000 0.000
Be 0.145 0.500 0.933
Br 0.000 0.500 0.500